Compound: CaMgIrO6
Source: the Alexandria database
Functional: PBE-GGA
Structure: relaxed

Output
DOS(E_F): 9.82 states/eV/cell
Final energy: -0.2275 hartree per atom
Crystal system: trigonal

a b c (Å): 5.2233 5.2233 10.0042
angles (deg): 90.00 90.00 120.00
Space group P-31c (No. 163)
Symmetry-distinct sites (fractional):
Ca: 0.0000 0.0000 0.0000 [2 per cell]
Mg: 0.3333 0.6667 0.2500 [2 per cell]
Ir: 0.3333 0.6667 0.7500 [2 per cell]
O: 0.0257 0.3749 0.6434 [12 per cell]